This record from the Alexandria database describes a relaxed Ca8Cd2Ga crystal. The functional is PBE.

POSCAR file:
```
Ca8Cd2Ga
1.0
9.4570 -2.7133 0.0000
9.4570 2.7133 0.0000
-2.5443 0.0000 7.1160
Ca Cd Ga
8 2 1
Cartesian
-0.2608 0.0000 2.0804
1.7765 0.0000 5.6952
5.0078 0.0000 3.8521
7.5263 0.0000 0.4362
8.8434 0.0000 6.6799
11.3619 0.0000 3.2640
14.5933 0.0000 1.4208
16.6306 0.0000 5.0356
2.8832 0.0000 1.4233
13.4865 0.0000 5.6927
8.1849 0.0000 3.5580
```

Calculated formation energy (meV/atom): -221
Symmetry: C2/m, No. 12


This record from the Alexandria database describes a relaxed Ca2Cd15Ga2 crystal. The functional is PBE.

POSCAR file:
```
Ca2Cd15Ga2
1.0
5.1106 2.9506 4.9131
-5.1106 2.9506 4.9131
0.0000 -5.9012 4.9131
Ca Cd Ga
2 15 2
Cartesian
0.0000 0.0000 2.5245
0.0000 0.0000 12.2149
-2.5553 -1.4753 4.9131
0.0000 -3.0714 4.7324
-2.6599 1.5357 4.7324
-1.5868 -2.7484 7.3697
-3.1736 0.0000 7.3697
-2.6599 -1.5357 10.0071
-2.5553 1.4753 9.8263
1.5868 -2.7484 7.3697
0.0000 2.9506 4.9131
-1.5868 2.7484 7.3697
2.6599 1.5357 4.7324
3.1736 0.0000 7.3697
1.5868 2.7484 7.3697
2.6599 -1.5357 10.0071
0.0000 3.0714 10.0071
0.0000 0.0000 6.0103
0.0000 0.0000 8.7291
```

Calculated formation energy (meV/atom): -106
Symmetry: R-3m, No. 166


This record from the Alexandria database describes a relaxed Ca5CdGa2 crystal. The functional is PBE.

POSCAR file:
```
Ca5CdGa2
1.0
-4.0452 4.0452 7.4693
4.0452 -4.0452 7.4693
4.0452 4.0452 -7.4693
Ca Cd Ga
10 2 4
Cartesian
0.0000 0.0000 0.0000
5.4318 1.3866 -2.0950
1.3866 2.6586 -2.0950
5.4318 1.3866 2.0950
1.3866 2.6586 2.0950
0.0000 0.0000 7.4693
2.6586 1.3866 5.3743
-1.3866 2.6586 5.3743
2.6586 1.3866 9.5643
-1.3866 2.6586 9.5643
0.0000 0.0000 3.7346
0.0000 0.0000 11.2039
3.1104 0.9348 0.0000
3.1104 -0.9348 7.4693
0.9348 4.9801 0.0000
0.9348 3.1104 7.4693
```

Calculated formation energy (meV/atom): -353
Symmetry: I4/mcm, No. 140


This record from the Alexandria database describes a relaxed CaCdGa crystal. The functional is PBE.

POSCAR file:
```
CaCdGa
1.0
5.4939 -2.3478 0.0000
5.4939 2.3478 0.0000
-4.9474 0.0000 5.5712
Ca Cd Ga
2 2 2
Cartesian
-0.9781 0.0000 1.6328
7.0185 0.0000 3.9384
-0.7790 0.0000 4.9400
6.8194 0.0000 0.6312
2.2872 0.0000 1.7163
3.7532 0.0000 3.8548
```

Calculated formation energy (meV/atom): -424
Symmetry: C2/m, No. 12


This record from the Alexandria database describes a relaxed CaCdGa crystal. The functional is PBE.

POSCAR file:
```
CaCdGa
1.0
13.5578 0.0000 0.0000
0.0000 4.1562 0.0000
0.0000 0.0000 7.7037
Ca Cd Ga
6 6 6
Cartesian
0.6253 0.0000 1.9055
3.3894 0.0000 6.5759
6.1536 0.0000 1.9055
7.4042 0.0000 5.7982
10.1683 0.0000 1.1278
12.9324 0.0000 5.7982
1.5873 2.0781 4.4397
3.3894 2.0781 1.4684
5.1916 2.0781 4.4397
8.3662 2.0781 3.2640
10.1683 2.0781 6.2353
11.9705 2.0781 3.2640
1.2072 2.0781 7.3062
3.3894 0.0000 3.4355
5.5717 2.0781 7.3062
7.9860 2.0781 0.3975
10.1683 0.0000 4.2682
12.3506 2.0781 0.3975
```

Calculated formation energy (meV/atom): -393
Symmetry: Pmma, No. 51


This record from the Alexandria database describes a relaxed Ca4Cd3Ga crystal. The functional is PBE.

POSCAR file:
```
Ca4Cd3Ga
1.0
2.6793 1.5469 8.7963
-2.6793 1.5469 8.7963
0.0000 -3.0938 8.7963
Ca Cd Ga
4 3 1
Cartesian
0.0000 0.0000 3.2218
0.0000 0.0000 9.8259
0.0000 0.0000 16.5628
0.0000 0.0000 23.1669
0.0000 0.0000 6.5544
0.0000 0.0000 13.1944
0.0000 0.0000 19.8344
0.0000 0.0000 0.0000
```

Calculated formation energy (meV/atom): -383
Symmetry: R-3m, No. 166


| no. | Fermi-level density of states (states/eV/f.u.) |
| --- | --- |
| 1 | 11.77 |
| 2 | 5.88 |
| 3 | 7.90 |
| 4 | 1.13 |
| 5 | 1.73 |
| 6 | 5.28 |